Entry 1:
# KNb3O

A geometry-optimized KNb3O structure (PBE, Alexandria).

```
data_KNb3O
_space_group_name_H-M_alt 'P 1'
_space_group_IT_number 1
_space_group_name_Hall 'P 1'
_cell_length_a 4.601
_cell_length_b 4.601
_cell_length_c 4.601
_cell_angle_alpha 90.00
_cell_angle_beta 90.00
_cell_angle_gamma 90.00
loop_
_atom_site_label
_atom_site_type_symbol
_atom_site_fract_x
_atom_site_fract_y
_atom_site_fract_z
Nb1 Nb 0.000 0.500 0.000
Nb2 Nb 0.000 0.000 0.500
Nb3 Nb 0.500 0.000 0.000
K1 K 0.000 0.000 0.000
O1 O 0.500 0.500 0.500
```

## Properties
ΔE_f (raw) ... 3068 meV/atom
DOS(E_F) ... 5.3 states/eV/cell
ΔE to the lowest computed polymorph ... 13.61 eV per formula unit
Total magnetic moment ... 0.000 μB per atom

=====

Entry 2:
# KNbOs2O8

A geometry-optimized KNbOs2O8 structure (PBE, Alexandria).

```
data_KNbOs2O8
_space_group_name_H-M_alt 'P 1'
_space_group_IT_number 1
_space_group_name_Hall 'P 1'
_cell_length_a 5.732
_cell_length_b 5.732
_cell_length_c 7.465
_cell_angle_alpha 90.00
_cell_angle_beta 90.00
_cell_angle_gamma 120.00
loop_
_atom_site_label
_atom_site_type_symbol
_atom_site_fract_x
_atom_site_fract_y
_atom_site_fract_z
K1 K 0.000 0.000 0.000
Nb1 Nb 0.000 0.000 0.500
Os1 Os 0.667 0.333 0.237
Os2 Os 0.333 0.667 0.763
O1 O 0.333 0.667 0.999
O2 O 0.330 0.165 0.343
O3 O 0.835 0.165 0.343
O4 O 0.667 0.333 0.001
O5 O 0.165 0.835 0.657
O6 O 0.670 0.835 0.657
O7 O 0.165 0.330 0.657
O8 O 0.835 0.670 0.343
```

## Properties
ΔE_f (raw) ... -1320 meV/atom
DOS(E_F) ... 7.1 states/eV/cell
Total magnetic moment ... 0.000 μB per atom

=====

Entry 3:
# KNbOsO6

A geometry-optimized KNbOsO6 structure (PBE, Alexandria).

```
data_KNbOsO6
_space_group_name_H-M_alt 'P 1'
_space_group_IT_number 1
_space_group_name_Hall 'P 1'
_cell_length_a 7.459
_cell_length_b 7.257
_cell_length_c 7.372
_cell_angle_alpha 119.49
_cell_angle_beta 120.39
_cell_angle_gamma 90.00
loop_
_atom_site_label
_atom_site_type_symbol
_atom_site_fract_x
_atom_site_fract_y
_atom_site_fract_z
K1 K 0.862 0.612 0.724
K2 K 0.138 0.388 0.276
Nb1 Nb 0.500 0.000 0.500
Nb2 Nb 0.000 0.000 0.500
Os1 Os 0.500 0.500 0.000
Os2 Os 0.500 0.000 0.000
O1 O 0.455 0.705 0.910
O2 O 0.816 0.066 0.633
O3 O 0.809 0.080 0.254
O4 O 0.445 0.674 0.254
O5 O 0.445 0.080 0.254
O6 O 0.809 0.674 0.254
O7 O 0.545 0.295 0.090
O8 O 0.184 0.934 0.367
O9 O 0.191 0.920 0.746
O10 O 0.555 0.326 0.746
O11 O 0.555 0.920 0.746
O12 O 0.191 0.326 0.746
```

## Properties
ΔE_f (raw) ... -1747 meV/atom
DOS(E_F) ... 7.6 states/eV/cell
Total magnetic moment ... 0.031 μB per atom

=====

Entry 4:
# K2NbOs3O12

A geometry-optimized K2NbOs3O12 structure (PBE, Alexandria).

```
data_K2NbOs3O12
_space_group_name_H-M_alt 'P 1'
_space_group_IT_number 1
_space_group_name_Hall 'P 1'
_cell_length_a 7.357
_cell_length_b 7.357
_cell_length_c 7.357
_cell_angle_alpha 58.84
_cell_angle_beta 58.84
_cell_angle_gamma 58.84
loop_
_atom_site_label
_atom_site_type_symbol
_atom_site_fract_x
_atom_site_fract_y
_atom_site_fract_z
K1 K 0.635 0.635 0.635
K2 K 0.365 0.365 0.365
Nb1 Nb 0.000 0.000 0.000
Os1 Os 0.500 0.000 0.000
Os2 Os 0.000 0.500 0.000
Os3 Os 0.000 0.000 0.500
O1 O 0.307 0.307 0.929
O2 O 0.927 0.927 0.329
O3 O 0.329 0.927 0.927
O4 O 0.929 0.307 0.307
O5 O 0.927 0.329 0.927
O6 O 0.307 0.929 0.307
O7 O 0.693 0.693 0.071
O8 O 0.073 0.073 0.671
O9 O 0.671 0.073 0.073
O10 O 0.071 0.693 0.693
O11 O 0.073 0.671 0.073
O12 O 0.693 0.071 0.693
```

## Properties
ΔE_f (raw) ... -1456 meV/atom
DOS(E_F) ... 9.0 states/eV/cell
Total magnetic moment ... 0.000 μB per atom

=====

Entry 5:
# K3NbP2O9

A geometry-optimized K3NbP2O9 structure (PBE, Alexandria).

```
data_K3NbP2O9
_space_group_name_H-M_alt 'P 1'
_space_group_IT_number 1
_space_group_name_Hall 'P 1'
_cell_length_a 17.990
_cell_length_b 5.281
_cell_length_c 9.944
_cell_angle_alpha 88.54
_cell_angle_beta 90.00
_cell_angle_gamma 90.00
loop_
_atom_site_label
_atom_site_type_symbol
_atom_site_fract_x
_atom_site_fract_y
_atom_site_fract_z
K1 K 0.861 0.753 0.076
K2 K 0.639 0.753 0.576
K3 K 0.426 0.251 0.042
K4 K 0.361 0.247 0.424
K5 K 0.139 0.247 0.924
K6 K 0.704 0.248 0.954
K7 K 0.204 0.752 0.546
K8 K 0.296 0.752 0.046
K9 K 0.796 0.248 0.454
K10 K 0.074 0.251 0.542
K11 K 0.574 0.749 0.958
K12 K 0.926 0.749 0.458
Nb1 Nb 0.412 0.759 0.687
Nb2 Nb 0.588 0.241 0.313
Nb3 Nb 0.912 0.241 0.813
Nb4 Nb 0.088 0.759 0.187
P1 P 0.709 0.753 0.263
P2 P 0.209 0.247 0.237
P3 P 0.961 0.261 0.170
P4 P 0.461 0.739 0.330
P5 P 0.791 0.753 0.763
P6 P 0.039 0.739 0.830
P7 P 0.291 0.247 0.737
P8 P 0.539 0.261 0.670
O1 O 0.421 0.757 0.865
O2 O 0.404 0.752 0.446
O3 O 0.699 0.764 0.111
O4 O 0.301 0.236 0.889
O5 O 0.072 0.783 0.691
O6 O 0.976 0.937 0.857
O7 O 0.596 0.248 0.554
O8 O 0.079 0.757 0.365
O9 O 0.660 0.532 0.330
O10 O 0.289 0.285 0.190
O11 O 0.711 0.715 0.810
O12 O 0.524 0.937 0.357
O13 O 0.840 0.532 0.830
O14 O 0.096 0.752 0.946
O15 O 0.024 0.063 0.143
O16 O 0.501 0.530 0.659
O17 O 0.921 0.243 0.635
O18 O 0.678 0.002 0.330
O19 O 0.904 0.248 0.054
O20 O 0.211 0.285 0.690
O21 O 0.428 0.783 0.191
O22 O 0.322 0.998 0.670
O23 O 0.789 0.715 0.310
O24 O 0.822 0.002 0.830
O25 O 0.160 0.468 0.170
O26 O 0.801 0.764 0.611
O27 O 0.928 0.217 0.309
O28 O 0.199 0.236 0.389
O29 O 0.178 0.998 0.170
O30 O 0.001 0.470 0.841
O31 O 0.499 0.470 0.341
O32 O 0.476 0.063 0.643
O33 O 0.579 0.243 0.135
O34 O 0.999 0.530 0.159
O35 O 0.572 0.217 0.809
O36 O 0.340 0.468 0.670
```

## Properties
ΔE_f (raw) ... -2368 meV/atom
DOS(E_F) ... 0.0 states/eV/cell
Total magnetic moment ... 0.007 μB per atom

=====

Entry 6:
# KNb2PO8

A geometry-optimized KNb2PO8 structure (PBE, Alexandria).

```
data_KNb2PO8
_space_group_name_H-M_alt 'P 1'
_space_group_IT_number 1
_space_group_name_Hall 'P 1'
_cell_length_a 8.600
_cell_length_b 8.600
_cell_length_c 8.600
_cell_angle_alpha 104.50
_cell_angle_beta 104.50
_cell_angle_gamma 104.50
loop_
_atom_site_label
_atom_site_type_symbol
_atom_site_fract_x
_atom_site_fract_y
_atom_site_fract_z
K1 K 0.422 0.154 0.643
K2 K 0.154 0.643 0.422
K3 K 0.643 0.422 0.154
Nb1 Nb 0.638 0.843 0.955
Nb2 Nb 0.955 0.638 0.843
Nb3 Nb 0.029 0.151 0.344
Nb4 Nb 0.843 0.955 0.638
Nb5 Nb 0.344 0.029 0.151
Nb6 Nb 0.151 0.344 0.029
P1 P 0.271 0.496 0.731
P2 P 0.731 0.271 0.496
P3 P 0.496 0.731 0.271
O1 O 0.027 0.502 0.978
O2 O 0.151 0.847 0.997
O3 O 0.293 0.413 0.872
O4 O 0.790 0.687 0.932
O5 O 0.997 0.151 0.847
O6 O 0.129 0.577 0.717
O7 O 0.440 0.641 0.769
O8 O 0.233 0.359 0.559
O9 O 0.687 0.932 0.790
O10 O 0.717 0.129 0.577
O11 O 0.769 0.440 0.641
O12 O 0.932 0.790 0.687
O13 O 0.978 0.027 0.502
O14 O 0.210 0.071 0.315
O15 O 0.559 0.233 0.359
O16 O 0.872 0.293 0.413
O17 O 0.071 0.315 0.210
O18 O 0.641 0.769 0.440
O19 O 0.359 0.559 0.233
O20 O 0.413 0.872 0.293
O21 O 0.315 0.210 0.071
O22 O 0.577 0.717 0.129
O23 O 0.847 0.997 0.151
O24 O 0.502 0.978 0.027
```

## Properties
ΔE_f (raw) ... -2459 meV/atom
DOS(E_F) ... 0.0 states/eV/cell
Total magnetic moment ... 0.000 μB per atom

=====

Entry 7:
# KNbPO2

A geometry-optimized KNbPO2 structure (PBE, Alexandria).

```
data_KNbPO2
_space_group_name_H-M_alt 'P 1'
_space_group_IT_number 1
_space_group_name_Hall 'P 1'
_cell_length_a 4.110
_cell_length_b 4.110
_cell_length_c 5.063
_cell_angle_alpha 90.00
_cell_angle_beta 90.00
_cell_angle_gamma 90.00
loop_
_atom_site_label
_atom_site_type_symbol
_atom_site_fract_x
_atom_site_fract_y
_atom_site_fract_z
P1 P 0.000 0.000 0.500
Nb1 Nb 0.000 0.000 0.000
K1 K 0.500 0.500 0.500
O1 O 0.000 0.500 0.000
O2 O 0.500 0.000 0.000
```

## Properties
ΔE_f (raw) ... -1293 meV/atom
DOS(E_F) ... 2.1 states/eV/cell
ΔE to the lowest computed polymorph ... 0.00 eV per formula unit
Total magnetic moment ... 0.181 μB per atom